# PrAlRu2C

A relaxed PrAlRu2C crystal (PBE, Alexandria via LeMat-Bulk).

a = 4.0791 Å, b = 5.9700 Å, c = 7.2944 Å
α = 90.00°, β = 90.00°, γ = 109.98°
Element x y z (fractional)
Pr: 0.4487 0.8974 0.7500
Pr: 0.5513 0.1026 0.2500
Al: 0.7264 0.4528 0.7500
Al: 0.2736 0.5472 0.2500
Ru: 0.1635 0.3269 0.9418
Ru: 0.8365 0.6731 0.0582
Ru: 0.1635 0.3269 0.5582
Ru: 0.8365 0.6731 0.4418
C: 0.0000 0.0000 0.0000
C: 0.0000 0.0000 0.5000

## Properties
total energy: -7.635 eV/atom
space-group type: Cmcm
magnetization: 0.00 μB/cell